Li2Ag9Pd: relaxed, GGA-PBE.

POSCAR file:
```
Li2Ag9Pd
1.0
-0.3125 -2.9236 -2.8556
4.0868 -0.2154 -0.2267
0.0346 -8.5343 8.7338
Ag Li Pd
9 2 1
Direct
0.5000 0.0000 0.5000
0.0000 0.5000 0.8327
0.0000 0.5000 0.1673
0.5000 0.0000 0.1673
0.5000 0.5000 0.0000
0.0000 0.5000 0.5000
0.5000 0.5000 0.3336
0.5000 0.0000 0.8327
0.5000 0.5000 0.6664
0.0000 0.0000 0.3325
0.0000 0.0000 0.6675
0.0000 0.0000 0.0000
```

Computed properties:
SG = P4/mmm
DFT formation energy = -0.0926 eV per atom

LiAg3Pd4: relaxed, GGA-PBE.

POSCAR file:
```
LiAg3Pd4
1.0
3.8399 0.0021 -1.0372
-0.2726 3.8355 -1.0182
0.2481 0.2237 8.5549
Pd Li Ag
4 1 3
Direct
0.1216 0.1217 0.2431
0.6216 0.6218 0.2431
0.3784 0.3782 0.7569
0.8784 0.8783 0.7569
0.5000 0.0000 0.0000
0.0000 0.5000 0.0000
0.2496 0.7496 0.4993
0.7504 0.2504 0.5007
```

Computed properties:
SG = I4/mmm
DFT formation energy = -0.1245 eV per atom
Relative energy among the computed polymorphs = 0 meV per atom

Li2Ag15Pd2: relaxed, GGA-PBE.

POSCAR file:
```
Li2Ag15Pd2
1.0
7.0979 -0.2242 1.4025
1.1092 7.0142 1.4025
-0.2710 -0.2242 7.2300
Ag Pd Li
15 2 2
Direct
0.6676 0.6676 0.1645
0.5000 0.0000 0.0000
0.6638 0.3362 0.0000
0.3362 0.0000 0.6638
0.3325 0.8355 0.3325
0.0000 0.6638 0.3362
0.0000 0.5000 0.0000
0.1645 0.6676 0.6676
0.6676 0.1645 0.6676
0.0000 0.3362 0.6638
0.8355 0.3325 0.3325
0.3362 0.6638 0.0000
0.0000 0.0000 0.5000
0.3325 0.3325 0.8355
0.6638 0.0000 0.3362
0.2729 0.2729 0.2729
0.7271 0.7271 0.7271
0.0970 0.0970 0.0970
0.9030 0.9030 0.9030
```

Computed properties:
SG = R-3m
DFT formation energy = 0.0984 eV per atom

LiAg2Pd2: relaxed, GGA-PBE.

POSCAR file:
```
LiAg2Pd2
1.0
7.8508 0.0000 0.0000
0.0000 7.8508 0.0000
0.0000 0.0000 2.9307
Ag Li Pd
4 2 4
Direct
0.8664 0.6336 0.0000
0.3664 0.8664 0.0000
0.1336 0.3664 0.0000
0.6336 0.1336 0.0000
0.5000 0.5000 0.0000
0.0000 0.0000 0.0000
0.3371 0.1629 0.5000
0.8371 0.3371 0.5000
0.6629 0.8371 0.5000
0.1629 0.6629 0.5000
```

Computed properties:
SG = P4/mbm
DFT formation energy = -0.0248 eV per atom
Relative energy among the computed polymorphs = 153 meV per atom

Li2Ag3Pd2: relaxed, GGA-PBE.

POSCAR file:
```
Li2Ag3Pd2
1.0
3.9794 0.0000 0.0000
0.0000 6.4229 0.4812
-1.9897 -1.0290 4.3156
Li Pd Ag
2 2 3
Direct
0.4275 0.2997 0.8549
0.5725 0.7003 0.1451
0.8603 0.5742 0.7206
0.1397 0.4258 0.2794
0.0000 0.0000 0.0000
0.2823 0.8471 0.5645
0.7177 0.1529 0.4355
```

Computed properties:
SG = C2/m
DFT formation energy = -0.2114 eV per atom
Relative energy among the computed polymorphs = 0 meV per atom

Li2Ag3Pd8: relaxed, GGA-PBE.

POSCAR file:
```
Li2Ag3Pd8
1.0
4.8027 0.1031 1.4772
1.0918 6.3400 3.2997
0.0172 0.0904 7.2296
Ag Li Pd
3 2 8
Direct
0.5000 0.0000 0.0000
0.0000 0.8198 0.1802
0.0000 0.1802 0.8198
0.5762 0.1991 0.1991
0.4238 0.8009 0.8009
0.3259 0.7960 0.4382
0.0603 0.2025 0.2025
0.9397 0.7975 0.7975
0.6741 0.2040 0.5618
0.3259 0.4382 0.7960
0.8119 0.6074 0.6074
0.1881 0.3926 0.3926
0.6741 0.5618 0.2040
```

Computed properties:
SG = C2/m
DFT formation energy = 0.0229 eV per atom
Relative energy among the computed polymorphs = 0 meV per atom

Li8Ag3Pd2: relaxed, GGA-PBE.

POSCAR file:
```
Li8Ag3Pd2
1.0
-0.5139 1.6026 -4.7584
-0.4984 -3.3426 -3.7488
-9.6982 -0.3899 -1.7609
Pd Li Ag
2 8 3
Direct
0.3660 0.3660 0.9019
0.6340 0.6340 0.0981
0.7274 0.7274 0.3145
0.2307 0.7274 0.3145
0.2726 0.2726 0.6855
0.7179 0.7179 0.8463
0.7274 0.2307 0.3145
0.2821 0.2821 0.1537
0.7693 0.2726 0.6855
0.2726 0.7693 0.6855
0.1851 0.1851 0.4447
0.8149 0.8149 0.5553
0.0000 0.0000 0.0000
```

Computed properties:
SG = R-3m
DFT formation energy = -0.0991 eV per atom
Relative energy among the computed polymorphs = 74 meV per atom

Li2AgPd: relaxed, GGA-PBE.

POSCAR file:
```
Li2AgPd
1.0
-2.5975 -1.3641 -0.6058
0.1970 -1.5186 2.5748
-3.2111 4.7587 3.0524
Li Pd Ag
2 1 1
Direct
0.0000 0.0000 0.7686
0.0000 0.0000 0.2314
0.5000 0.5000 0.0000
0.5000 0.5000 0.5000
```

Computed properties:
SG = P4/mmm
DFT formation energy = -0.3234 eV per atom
Relative energy among the computed polymorphs = 11 meV per atom

Li5Ag2Pd5: relaxed, GGA-PBE.

POSCAR file:
```
Li5Ag2Pd5
1.0
4.0688 0.0000 1.3134
1.3351 6.1722 2.8233
-0.0090 -0.0072 6.9869
Li Pd Ag
5 5 2
Direct
0.0000 0.0000 0.0000
0.7553 0.2494 0.2400
0.0778 0.2471 0.5973
0.9222 0.7529 0.4027
0.2447 0.7506 0.7600
0.3253 0.9932 0.3562
0.6747 0.0068 0.6438
0.5761 0.7723 0.0756
0.4239 0.2277 0.9244
0.5000 0.5000 0.5000
0.8325 0.5176 0.8174
0.1675 0.4824 0.1826
```

Computed properties:
SG = C2/m
DFT formation energy = -0.3297 eV per atom
Relative energy among the computed polymorphs = 0 meV per atom

LiAg2Pd2: relaxed, GGA-PBE.

POSCAR file:
```
LiAg2Pd2
1.0
-3.2141 2.0927 -0.2124
-0.6747 -1.3931 -3.5155
-5.3287 -4.5838 0.7407
Pd Li Ag
2 1 2
Direct
0.5985 0.5985 0.8030
0.4015 0.4015 0.1970
0.0000 0.0000 0.0000
0.2500 0.7500 0.5000
0.7500 0.2500 0.5000
```

Computed properties:
SG = I4/mmm
DFT formation energy = 0.1497 eV per atom
Relative energy among the computed polymorphs = 328 meV per atom

Li6AgPd2: relaxed, GGA-PBE.

POSCAR file:
```
Li6AgPd2
1.0
4.4167 0.0000 -0.1684
0.0000 6.1872 0.0000
-1.9507 -3.0936 6.2294
Li Pd Ag
6 2 1
Direct
0.8267 0.0995 0.6547
0.5000 0.2641 0.0000
0.1733 0.9005 0.3453
0.8267 0.5551 0.6547
0.5000 0.7359 0.0000
0.1733 0.4449 0.3453
0.6717 0.6711 0.3422
0.3283 0.3289 0.6578
0.0000 0.0000 0.0000
```

Computed properties:
SG = C2/m
DFT formation energy = -0.1009 eV per atom
Relative energy among the computed polymorphs = 206 meV per atom

Li4Ag3Pd: relaxed, GGA-PBE.

POSCAR file:
```
Li4Ag3Pd
1.0
-3.6392 -1.6525 -0.7727
0.1037 -1.8864 3.5459
-1.6939 6.1285 5.5943
Ag Li Pd
3 4 1
Direct
0.0000 0.5000 0.0000
0.1293 0.8705 0.2585
0.8707 0.1295 0.7415
0.6133 0.3871 0.2265
0.7488 0.7511 0.4976
0.2512 0.2489 0.5024
0.3867 0.6129 0.7735
0.5000 0.0000 0.0000
```

Computed properties:
SG = Immm
DFT formation energy = -0.2119 eV per atom
Relative energy among the computed polymorphs = 57 meV per atom

Li4Ag2Pd: relaxed, GGA-PBE.

POSCAR file:
```
Li4Ag2Pd
1.0
4.6089 0.0000 0.0000
0.0000 4.6089 0.0000
2.3044 2.3044 6.6424
Li Pd Ag
4 1 2
Direct
0.0000 0.5000 0.0000
0.5000 0.0000 0.0000
0.8124 0.8124 0.3751
0.1876 0.1876 0.6249
0.0000 0.0000 0.0000
0.3903 0.3903 0.2193
0.6097 0.6097 0.7807
```

Computed properties:
SG = I4/mmm
DFT formation energy = 0.0107 eV per atom
Relative energy among the computed polymorphs = 226 meV per atom

LiAg6Pd5: relaxed, GGA-PBE.

POSCAR file:
```
LiAg6Pd5
1.0
-3.4869 -6.3528 -5.4278
2.5417 -1.7660 -2.5943
2.5454 -5.0823 2.8192
Pd Ag Li
5 6 1
Direct
0.5000 0.5000 0.0000
0.0001 0.3352 0.3291
0.5000 0.8340 0.3320
0.5000 0.1660 0.6680
0.9999 0.6648 0.6709
0.7517 0.4148 0.6672
0.2483 0.5852 0.3328
0.2482 0.2522 0.0001
0.7517 0.0819 0.3327
0.2483 0.9181 0.6673
0.7518 0.7478 0.9999
0.0000 0.0000 0.0000
```

Computed properties:
SG = P-1
DFT formation energy = -0.0923 eV per atom

Li7AgPd3: relaxed, GGA-PBE.

POSCAR file:
```
Li7AgPd3
1.0
-2.7713 3.7254 -0.1973
-1.3282 -3.6098 5.3053
5.7555 1.5237 2.7375
Pd Li Ag
3 7 1
Direct
0.0000 0.7716 0.2284
0.0000 0.2284 0.7716
0.5000 0.0000 0.0000
0.6714 0.9481 0.3949
0.0000 0.5000 0.5000
0.1738 0.1738 0.1738
0.8262 0.8262 0.8262
0.3286 0.0519 0.6051
0.6714 0.3949 0.9481
0.3286 0.6051 0.0519
0.5000 0.5000 0.5000
```

Computed properties:
SG = Immm
DFT formation energy = -0.2262 eV per atom
Relative energy among the computed polymorphs = 80 meV per atom

LiAgPd5: relaxed, GGA-PBE.

POSCAR file:
```
LiAgPd5
1.0
-5.5753 4.6602 -1.5215
-3.8846 -4.3134 1.0231
4.5643 0.8982 4.1383
Pd Li Ag
5 1 1
Direct
0.6392 0.7742 0.5484
0.2052 0.5000 0.0000
0.9043 0.2834 0.0000
0.9043 0.7166 0.0000
0.0908 0.2258 0.4516
0.2076 0.0000 0.0000
0.5793 0.5000 0.0000
```

Computed properties:
SG = Imm2
DFT formation energy = 0.6179 eV per atom
Relative energy among the computed polymorphs = 640 meV per atom

Li5Ag4Pd3: relaxed, GGA-PBE.

POSCAR file:
```
Li5Ag4Pd3
1.0
4.6800 0.0000 0.0000
2.3400 6.0247 -1.7548
2.3400 -0.1949 6.8047
Ag Li Pd
4 5 3
Direct
0.8468 0.2304 0.0760
0.8402 0.9454 0.3743
0.1532 0.7696 0.9240
0.1598 0.0546 0.6257
0.5000 0.5000 0.5000
0.6625 0.9012 0.7738
0.3375 0.0988 0.2262
0.8179 0.5026 0.8616
0.1821 0.4974 0.1384
0.0000 0.5000 0.5000
0.4701 0.3018 0.7580
0.5299 0.6982 0.2420
```

Computed properties:
SG = C2/m
DFT formation energy = -0.1740 eV per atom

Li5Ag2Pd2: relaxed, GGA-PBE.

POSCAR file:
```
Li5Ag2Pd2
1.0
-5.3880 1.4498 3.2312
-3.2934 0.0697 -5.5230
0.2544 -6.8673 3.5055
Li Pd Ag
10 4 4
Direct
0.6627 0.2924 0.2590
0.3373 0.9666 0.2590
0.6627 0.0334 0.7410
0.8373 0.5334 0.7410
0.8373 0.7924 0.2590
0.1627 0.4666 0.2590
0.0000 0.0000 0.0000
0.1627 0.2076 0.7410
0.3373 0.7076 0.7410
0.5000 0.5000 0.0000
0.3548 0.1455 0.0000
0.8548 0.3545 0.0000
0.1452 0.6455 0.0000
0.6452 0.8545 0.0000
0.5000 0.2859 0.5718
0.0000 0.7859 0.5718
0.5000 0.7141 0.4282
0.0000 0.2141 0.4282
```

Computed properties:
SG = Cmce
DFT formation energy = -0.1818 eV per atom
Relative energy among the computed polymorphs = 59 meV per atom

LiAg2Pd3: relaxed, GGA-PBE.

POSCAR file:
```
LiAg2Pd3
1.0
5.4008 0.0000 0.0000
0.0000 8.9824 0.0000
0.0000 -4.4912 4.0783
Pd Ag Li
6 4 2
Direct
0.0000 0.5000 0.0000
0.5000 0.1640 0.3280
0.5000 0.8360 0.6720
0.0000 0.8360 0.6720
0.5000 0.5000 0.0000
0.0000 0.1640 0.3280
0.7500 0.4399 0.3432
0.2500 0.9033 0.3432
0.7500 0.0967 0.6568
0.2500 0.5601 0.6568
0.2500 0.2345 0.0000
0.7500 0.7655 0.0000
```

Computed properties:
SG = Cmcm
DFT formation energy = -0.0639 eV per atom
Relative energy among the computed polymorphs = 46 meV per atom

Li5AgPd: relaxed, GGA-PBE.

POSCAR file:
```
Li5AgPd
1.0
5.2606 0.5364 -0.3475
2.1776 4.8187 -0.3475
2.1406 1.5411 9.2752
Pd Ag Li
2 2 10
Direct
0.0000 0.0000 0.5000
0.0000 0.0000 0.0000
0.3231 0.6769 0.7500
0.6769 0.3231 0.2500
0.3469 0.1278 0.8291
0.4215 0.2894 0.5355
0.8315 0.1685 0.7500
0.2894 0.4215 0.0355
0.8722 0.6531 0.6709
0.6531 0.8722 0.1709
0.7106 0.5785 0.9645
0.5785 0.7106 0.4645
0.1278 0.3469 0.3291
0.1685 0.8315 0.2500
```

Computed properties:
SG = C2/c
DFT formation energy = -0.1667 eV per atom
Relative energy among the computed polymorphs = 0 meV per atom

Li2Ag12Pd5: relaxed, GGA-PBE.

POSCAR file:
```
Li2Ag12Pd5
1.0
7.7253 0.0000 0.0000
-3.8626 6.2583 0.8780
0.0000 -1.1539 6.5834
Ag Pd Li
12 5 2
Direct
0.4277 0.2524 0.6619
0.9123 0.8246 0.1136
0.3382 0.3078 0.2418
0.8246 0.2524 0.6619
0.6618 0.6922 0.7582
0.9696 0.3078 0.2418
0.1754 0.7476 0.3381
0.0304 0.6922 0.7582
0.5723 0.7476 0.3381
0.0877 0.1754 0.8864
0.4456 0.8913 0.6804
0.5544 0.1087 0.3196
0.2347 0.4695 0.5852
0.6927 0.3854 0.0037
0.0000 0.0000 0.5000
0.7653 0.5305 0.4148
0.3073 0.6146 0.9963
0.3168 0.0000 0.0000
0.6832 0.0000 0.0000
```

Computed properties:
SG = C2/m
DFT formation energy = -0.0195 eV per atom